First-principles (GGA-PBE) data for a relaxed Cs2SrTc2N6 crystal, as listed in the Alexandria database.

Properties
space group = C2/m
crystal system = monoclinic

abc: 6.7051 6.7627 7.8164
angles: 117.89 90.00 119.72
Last column: nearest neighbours and their distance in Å.
Fractional positions:
Tc  0.9451  0.8902  0.7952  3 N 1.78
N  0.2265  0.0104  0.7448  1 Tc 1.78
N  0.7674  0.5349  0.6841  1 Tc 1.78
Cs  0.2813  0.5625  0.8103  9 N 3.35-3.59
N  0.2326  0.4651  0.3159  1 Tc 1.78
N  0.2161  0.9896  0.2552  1 Tc 1.78
Sr  0.5000  0.0000  0.5000  6 N 2.65-2.66
N  0.7839  0.0104  0.7448  1 Tc 1.78
N  0.7735  0.9896  0.2552  1 Tc 1.78
Cs  0.7187  0.4375  0.1897  9 N 3.35-3.59
Tc  0.0549  0.1098  0.2048  3 N 1.78

---

First-principles (GGA-PBE) data for a relaxed ErSi2Pd4 crystal, as listed in the Alexandria database.

Properties
distance to the lowest polymorph of the same formula = 0.0 meV per atom
space group = P4_2/mnm
crystal system = tetragonal

abc: 3.6849 7.9108 7.9108
angles: 90.00 90.00 90.00
Last column: nearest neighbours and their distance in Å.
Fractional positions:
Si  0.5000  0.2732  0.2732  6 Pd 2.46-2.47
Pd  0.0000  0.0715  0.3173  3 Si 2.46-2.47, 1 Pd 2.75
Pd  0.0000  0.9285  0.6827  3 Si 2.46-2.47, 1 Pd 2.75
Er  0.5000  0.0000  0.0000  6 Si 3.06-3.14, 8 Pd 3.16
Si  0.0000  0.2268  0.7732  6 Pd 2.46-2.47
Pd  0.5000  0.8173  0.4285  3 Si 2.46-2.47, 1 Pd 2.75
Pd  0.5000  0.5715  0.1827  3 Si 2.46-2.47, 1 Pd 2.75
Si  0.0000  0.7732  0.2268  6 Pd 2.46-2.47
Pd  0.0000  0.3173  0.0715  3 Si 2.46-2.47, 1 Pd 2.75
Si  0.5000  0.7268  0.7268  6 Pd 2.46-2.47
Pd  0.0000  0.6827  0.9285  3 Si 2.46-2.47, 1 Pd 2.75
Er  0.0000  0.5000  0.5000  6 Si 3.06-3.14, 8 Pd 3.16
Pd  0.5000  0.4285  0.8173  3 Si 2.46-2.47, 1 Pd 2.75
Pd  0.5000  0.1827  0.5715  3 Si 2.46-2.47, 1 Pd 2.75

---

First-principles (GGA-PBE) data for a relaxed LaScGe2Pd5 crystal, as listed in the Alexandria database.

Properties
energy of formation = -0.71 eV per atom
space group = P4/mmm
crystal system = tetragonal

abc: 4.2435 4.2435 9.1734
angles: 90.00 90.00 90.00
Last column: nearest neighbours and their distance in Å.
Fractional positions:
Pd  0.5000  0.0000  0.7338  2 Ge 2.46
Sc  0.0000  0.0000  0.0000  8 Ge 3.23, 8 Pd 3.24
Pd  0.0000  0.5000  0.2662  2 Ge 2.46
La  0.0000  0.0000  0.5000  12 Pd 3.00-3.02
Pd  0.5000  0.5000  0.5000  4 La 3.00, 8 Pd 3.02
Ge  0.5000  0.5000  0.8698  1 Ge 2.39, 4 Pd 2.46
Pd  0.0000  0.5000  0.7338  2 Ge 2.46
Ge  0.5000  0.5000  0.1302  1 Ge 2.39, 4 Pd 2.46
Pd  0.5000  0.0000  0.2662  2 Ge 2.46

---

First-principles (GGA-PBE) data for a relaxed Sc5Tl6 crystal, as listed in the Alexandria database.

Properties
energy of formation = -0.21 eV per atom
space group = Immm
crystal system = orthorhombic

abc: 5.0331 7.1270 8.7681
angles: 113.98 106.68 90.00
Last column: nearest neighbours and their distance in Å.
Fractional positions:
Sc  0.6695  0.1695  0.3391  8 Tl 3.05-3.17
Tl  0.1610  0.9199  0.3221  7 Sc 3.05-3.20
Sc  0.3383  0.3383  0.6766  8 Tl 3.12-3.20
Tl  0.8390  0.5978  0.6779  7 Sc 3.05-3.20
Tl  0.1610  0.4022  0.3221  7 Sc 3.05-3.20
Tl  0.8390  0.0801  0.6779  7 Sc 3.05-3.20
Sc  0.0000  0.5000  0.0000  8 Tl 3.07-3.18
Sc  0.3305  0.8305  0.6609  8 Tl 3.05-3.17
Tl  0.5001  0.2276  0.0000  6 Sc 3.05-3.18, 1 Tl 3.24
Tl  0.4999  0.7724  0.0000  6 Sc 3.05-3.18, 1 Tl 3.24
Sc  0.6617  0.6617  0.3234  8 Tl 3.12-3.20

---

First-principles (GGA-PBE) data for a relaxed Ta2PtAu crystal, as listed in the Alexandria database.

Properties
energy of formation = -0.32 eV per atom
space group = P2/m
crystal system = monoclinic

abc: 4.1606 2.8632 6.4061
angles: 63.26 90.00 90.00
Last column: nearest neighbours and their distance in Å.
Fractional positions:
Ta  0.0000  0.0064  0.9941  4 Ta 2.79-2.93, 4 Pt 2.88-2.89, 4 Au 2.92
Ta  0.0000  0.4936  0.5059  4 Ta 2.79-2.93, 4 Pt 2.88-2.89, 4 Au 2.92
Au  0.5000  0.2500  0.2500  2 Pt 2.86, 2 Au 2.86, 8 Ta 2.92
Pt  0.5000  0.7500  0.7500  2 Au 2.86, 2 Pt 2.86, 8 Ta 2.88-2.89

---

First-principles (GGA-PBE) data for a relaxed Al3CdF crystal, as listed in the Alexandria database.

Properties
distance to the lowest polymorph of the same formula = 567.3 meV per atom
space group = Pm-3m
crystal system = cubic

abc: 5.1226 5.1226 5.1226
angles: 90.00 90.00 90.00
Last column: nearest neighbours and their distance in Å.
Fractional positions:
Cd  0.0000  0.0000  0.0000  6 Al 2.56
Al  0.5000  0.0000  0.0000  2 Cd 2.56
F  0.5000  0.5000  0.5000  12 Al 3.62
Al  0.0000  0.5000  0.0000  2 Cd 2.56
Al  0.0000  0.0000  0.5000  2 Cd 2.56

---

D(E_F) for every record listed, in sequence, given in states/eV/f.u.: 1.883, 3.531, 3.883, 9.527, 2.158, 2.577.
VASP energy for every record listed, in sequence, given in eV/atom: -6.724, -6.001, -5.870, -4.374, -8.577, -2.428.